Entry 1:
This record from Alexandria describes ScMnTc after structural relaxation. The functional is GGA-PBE.

## Properties
DOS at the Fermi energy = 5.96 states/eV per cell
ΔH_f (0 K) = -0.6 eV/f.u.

```
6
Lattice="5.101 0.010 -0.029 -2.470 4.463 0.029 -2.516 -1.531 4.166" Properties=species:S:1:pos:R:3 pbc="T T T"
Tc -1.235 2.232 0.015
Tc 0.058 1.471 2.083
Mn 1.293 -0.761 2.068
Mn -2.493 1.466 2.098
Sc -1.234 -0.780 3.641
Sc 1.349 3.722 0.525
```

---

Entry 2:
This record from Alexandria describes ScMnTc after structural relaxation. The functional is GGA-PBE.

## Properties
DOS at the Fermi energy = 2.66 states/eV per cell
ΔH_f (0 K) = 0.8 eV/f.u.

```
3
Lattice="4.143 0.000 0.000 2.072 3.588 0.000 2.072 1.196 3.383" Properties=species:S:1:pos:R:3 pbc="T T T"
Mn 6.215 3.588 2.537
Sc 0.000 0.000 0.000
Tc 4.143 2.392 1.691
```

---

Across the entries above, magnetic moment takes the values 0.365; 0.000 μB per atom, respectively.